No. 1
DFT (PBE) results for crystalline Pa2ClF9 at its relaxed geometry.

The value obtained for the energy is -6.522 eV per atom. For the volume, the calculation gives 16.0 Å³/atom. The value obtained for the uncorrected formation energy is -3382 meV per atom. Its total magnetization is 1.13 μB per formula unit.

The space group is P6/mmm (No. 191) and the conventional cell measures 7.8701, 7.8701 and 3.5844 Å, with angles of 90.00, 90.00 and 120.00 degrees. The inequivalent atoms are Pa at (0.3333, 0.6667, 0.0000), Cl at (0.0000, 0.0000, 0.0000), F at (0.0000, 0.5000, 0.0000) and F at (0.2278, 0.4555, 0.5000).

No. 2
DFT (PBE) results for crystalline PaCl2F6 at its relaxed geometry.

The value obtained for the energy is -5.270 eV per atom. For the volume, the calculation gives 21.4 Å³/atom. The value obtained for the uncorrected formation energy is -2557 meV per atom. Its polymorph energy (0 for the lowest one) is 0 kJ/mol of formula units. Its total magnetization is 1.04 μB per formula unit.

The space group is P-1 (No. 2) and the conventional cell measures 5.389, 5.608 and 7.521 Å, with angles of 85.72, 72.20 and 63.20 degrees. The inequivalent atoms are Pa at (0.000, 0.000, 0.000), Cl at (0.191, 0.351, 0.446), F at (0.001, 0.692, 0.858), F at (0.278, 0.730, 0.140) and F at (0.362, 0.978, 0.761).

No. 3
DFT (PBE) results for crystalline PaCl3F at its relaxed geometry.

The value obtained for the energy is -5.664 eV per atom. For the volume, the calculation gives 33.0 Å³/atom. The value obtained for the uncorrected formation energy is -2282 meV per atom. Its polymorph energy (0 for the lowest one) is 7 kJ/mol of formula units. Its total magnetization is 1.00 μB per formula unit.

The space group is Imma (No. 74) and the conventional cell measures 7.953, 9.847 and 8.430 Å, with angles of 90.00, 90.00 and 90.00 degrees. The inequivalent atoms are Pa at (0.250, 0.250, 0.250), Cl at (0.000, 0.250, 0.023), Cl at (0.250, 0.009, 0.750) and F at (0.000, 0.250, 0.387).

No. 4
DFT (PBE) results for crystalline PaClF5 at its relaxed geometry.

The value obtained for the energy is -5.977 eV per atom. For the volume, the calculation gives 23.1 Å³/atom. The value obtained for the uncorrected formation energy is -3020 meV per atom. Its total magnetization is 1.00 μB per formula unit.

The space group is C2/c (No. 15) and the conventional cell measures 4.577, 16.207 and 8.708 Å, with angles of 90.00, 92.23 and 90.00 degrees. The inequivalent atoms are Pa at (0.000, 0.192, 0.250), Cl at (0.000, 0.086, 0.750), F at (0.000, 0.313, 0.750), F at (0.001, 0.282, 0.416) and F at (0.008, 0.103, 0.419).

No. 5
DFT (PBE) results for crystalline PaCl4F at its relaxed geometry.

The value obtained for the energy is -5.356 eV per atom. For the volume, the calculation gives 35.1 Å³/atom. The value obtained for the uncorrected formation energy is -2230 meV per atom. Its polymorph energy (0 for the lowest one) is 0 kJ/mol of formula units. Its total magnetization is 0.00 μB per formula unit.

The space group is I4/m (No. 87) and the conventional cell measures 9.616, 9.616 and 4.558 Å, with angles of 90.00, 90.00 and 90.00 degrees. The inequivalent atoms are Pa at (0.000, 0.000, 0.000), Cl at (0.060, 0.747, 0.000) and F at (0.000, 0.000, 0.500).

No. 6
DFT (PBE) results for crystalline PaCl6F2 at its relaxed geometry.

The value obtained for the energy is -4.009 eV per atom. For the volume, the calculation gives 30.8 Å³/atom. The value obtained for the uncorrected formation energy is -1307 meV per atom. Its total magnetization is 0.00 μB per formula unit.

The space group is P2_1/c (No. 14) and the conventional cell measures 6.969, 8.269 and 10.379 Å, with angles of 90.00, 111.95 and 90.00 degrees. The inequivalent atoms are Pa at (0.000, 0.000, 0.000), Cl at (0.000, 0.094, 0.269), Cl at (0.282, 0.711, 0.553), Cl at (0.292, 0.202, 0.090) and F at (0.000, 0.149, 0.790).

No. 7
DFT (PBE) results for crystalline Pa2Cl3F7 at its relaxed geometry.

The value obtained for the energy is -5.973 eV per atom. For the volume, the calculation gives 18.0 Å³/atom. The value obtained for the uncorrected formation energy is -2837 meV per atom. Its total magnetization is 0.11 μB per formula unit.

The space group is Cmmm (No. 65) and the conventional cell measures 4.409, 22.170 and 4.408 Å, with angles of 90.00, 90.00 and 90.00 degrees. The inequivalent atoms are Pa at (0.000, 0.104, 0.000), Cl at (0.000, 0.327, 0.500), Cl at (0.000, 0.500, 0.500), F at (0.000, 0.000, 0.000), F at (0.000, 0.086, 0.500), F at (0.000, 0.193, 0.000) and F at (0.000, 0.413, 0.000).

No. 8
DFT (PBE) results for crystalline PaCl2F3 at its relaxed geometry.

The value obtained for the energy is -6.062 eV per atom. For the volume, the calculation gives 24.5 Å³/atom. The value obtained for the uncorrected formation energy is -2928 meV per atom. Its total magnetization is 0.00 μB per formula unit.

The space group is Cmcm (No. 63) and the conventional cell measures 10.972, 7.051 and 7.596 Å, with angles of 90.00, 90.00 and 90.00 degrees. The inequivalent atoms are Pa at (0.000, 0.062, 0.250), Cl at (0.153, 0.329, 0.250), F at (0.000, 0.228, 0.750) and F at (0.112, 0.000, 0.000).

No. 9
DFT (PBE) results for crystalline PaCl4F at its relaxed geometry.

The value obtained for the energy is -5.180 eV per atom. For the volume, the calculation gives 27.3 Å³/atom. The value obtained for the uncorrected formation energy is -2054 meV per atom. Its polymorph energy (0 for the lowest one) is 102 kJ/mol of formula units. Its total magnetization is 0.00 μB per formula unit.

The space group is Pmma (No. 51) and the conventional cell measures 9.697, 4.166 and 8.103 Å, with angles of 90.00, 90.00 and 90.00 degrees. The inequivalent atoms are Pa at (0.250, 0.000, 0.178), Cl at (0.000, 0.000, 0.000), Cl at (0.082, 0.500, 0.289), Cl at (0.250, 0.500, 0.946) and F at (0.250, 0.000, 0.428).

No. 10
DFT (PBE) results for crystalline PaCl8F2 at its relaxed geometry.

The value obtained for the energy is -3.567 eV per atom. For the volume, the calculation gives 30.3 Å³/atom. The value obtained for the uncorrected formation energy is -1021 meV per atom. Its total magnetization is 1.01 μB per formula unit.

The space group is C2/m (No. 12) and the conventional cell measures 18.361, 4.741 and 7.844 Å, with angles of 90.00, 102.75 and 90.00 degrees. The inequivalent atoms are Pa at (0.000, 0.000, 0.000), Cl at (0.002, 0.500, 0.808), Cl at (0.101, 0.000, 0.323), Cl at (0.123, 0.000, 0.915), Cl at (0.232, 0.000, 0.341) and F at (0.172, 0.500, 0.640).

No. 11
DFT (PBE) results for crystalline Pa2Cl4F5 at its relaxed geometry.

The value obtained for the energy is -6.138 eV per atom. For the volume, the calculation gives 24.4 Å³/atom. The value obtained for the uncorrected formation energy is -2889 meV per atom. Its total magnetization is 1.04 μB per formula unit.

The space group is P2/m (No. 10) and the conventional cell measures 6.017, 4.362 and 10.246 Å, with angles of 90.00, 94.77 and 90.00 degrees. The inequivalent atoms are Pa at (0.041, 0.000, 0.226), Cl at (0.216, 0.500, 0.857), Cl at (0.230, 0.500, 0.361), F at (0.000, 0.000, 0.000), F at (0.170, 0.000, 0.627) and F at (0.359, 0.000, 0.168).

No. 12
DFT (PBE) results for crystalline PaClF at its relaxed geometry.

The value obtained for the energy is -6.108 eV per atom. For the volume, the calculation gives 18.9 Å³/atom. The value obtained for the uncorrected formation energy is -1703 meV per atom. Its total magnetization is 2.26 μB per formula unit.

The space group is I4mm (No. 107) and the conventional cell measures 3.711, 3.711 and 8.214 Å, with angles of 90.00, 90.00 and 90.00 degrees. The inequivalent atoms are Pa at (0.000, 0.000, 0.000), Cl at (0.000, 0.000, 0.635) and F at (0.000, 0.000, 0.288).